Record 1
## MoPRu2 (GGA-PBE)

Data for an optimized crystal structure of MoPRu2.

Summary:
Symmetry: No. 99

Unit cell a=2.8750 b=2.8750 c=6.6564 alpha=90.00 beta=90.00 gamma=90.00
Element x y z (fractional)
Mo 0.0000 0.0000 0.5185
P 0.5000 0.5000 0.7656
Ru 0.0000 0.0000 0.9604
Ru 0.5000 0.5000 0.2555


Record 2
## MoPRu2 (GGA-PBE)

Data for an optimized crystal structure of MoPRu2.

Summary:
Symmetry: No. 123

Unit cell a=2.8520 b=2.8520 c=6.7237 alpha=90.00 beta=90.00 gamma=90.01
Element x y z (fractional)
Mo 0.5000 0.5000 0.5000
P 0.5000 0.5000 0.0000
Ru 0.0000 0.0000 0.2125
Ru 0.0000 0.0000 0.7875


Record 3
## MoPRu2 (GGA-PBE)

Data for an optimized crystal structure of MoPRu2.

Summary:
Symmetry: No. 160

Unit cell a=8.3986 b=8.3986 c=8.3986 alpha=19.25 beta=19.25 gamma=19.25
Element x y z (fractional)
Mo 0.5038 0.5038 0.5038
P 0.2540 0.2540 0.2540
Ru 0.9912 0.9912 0.9912
Ru 0.7510 0.7510 0.7510


Record 4
## MoPRu2 (GGA-PBE)

Data for an optimized crystal structure of MoPRu2.

Summary:
Symmetry: No. 119

Unit cell a=4.7702 b=4.7702 c=4.7702 alpha=133.96 beta=133.96 gamma=67.14
Element x y z (fractional)
Mo 0.5000 0.5000 0.0000
P 0.7500 0.2500 0.5000
Ru 0.0000 0.0000 0.0000
Ru 0.2500 0.7500 0.5000


Record 5
## MoPRu2 (GGA-PBE)

Data for an optimized crystal structure of MoPRu2.

Summary:
Symmetry: No. 65

Unit cell a=4.4985 b=4.4985 c=2.8413 alpha=90.00 beta=90.00 gamma=103.37
Element x y z (fractional)
Mo 0.0000 0.0000 0.5000
P 0.5000 0.5000 0.5000
Ru 0.5000 0.0000 0.0000
Ru 0.0000 0.5000 0.0000


Record 6
## MoP2Ru2 (GGA-PBE)

Data for an optimized crystal structure of MoP2Ru2.

Summary:
Symmetry: No. 127

Unit cell a=6.9130 b=6.9130 c=2.7988 alpha=90.00 beta=90.00 gamma=90.00
Element x y z (fractional)
Ru 0.1468 0.6468 0.5000
Ru 0.6468 0.8532 0.5000
Ru 0.8532 0.3532 0.5000
Ru 0.3532 0.1468 0.5000
Mo 0.0000 0.0000 0.0000
Mo 0.5000 0.5000 0.0000
P 0.3417 0.8417 0.0000
P 0.8417 0.6583 0.0000
P 0.6583 0.1583 0.0000
P 0.1583 0.3417 0.0000


Record 7
## MoPRu2 (GGA-PBE)

Data for an optimized crystal structure of MoPRu2.

Summary:
Symmetry: No. 47

Unit cell a=2.8836 b=4.3725 c=4.4333 alpha=90.00 beta=90.00 gamma=90.00
Element x y z (fractional)
Mo 0.5000 0.5000 0.0000
P 0.0000 0.5000 0.5000
Ru 0.0000 0.0000 0.0000
Ru 0.5000 0.0000 0.5000


Record 8
## Mo2P2Ru (GGA-PBE)

Data for an optimized crystal structure of Mo2P2Ru.

Summary:
Symmetry: No. 139
Polymorph energy (0 for the lowest one) (meV per atom): 349

Unit cell a=3.3091 b=3.3091 c=7.1221 alpha=76.57 beta=76.57 gamma=90.00
Site moments in Bohr magnetons follow the coordinates.
Element x y z (fractional)
Ru 0.0000 0.0000 0.0000  0.27
Mo 0.3833 0.3833 0.2335  0.03
Mo 0.6167 0.6167 0.7665  0.03
P 0.7500 0.2500 0.5000  0.00
P 0.2500 0.7500 0.5000  0.00


Record 9
## MoP2Ru3 (GGA-PBE)

Data for an optimized crystal structure of MoP2Ru3.

Summary:
Symmetry: No. 26

Unit cell a=3.9172 b=6.0441 c=6.8697 alpha=90.00 beta=90.00 gamma=90.00
Element x y z (fractional)
Mo 0.5000 0.5251 0.5881
Mo 0.5000 0.0251 0.4119
P 0.5000 0.7586 0.8621
P 0.5000 0.2586 0.1379
P 0.0000 0.2410 0.6373
P 0.0000 0.7410 0.3627
Ru 0.0000 0.4719 0.9060
Ru 0.0000 0.9719 0.0940
Ru 0.5000 0.6436 0.1764
Ru 0.5000 0.1436 0.8236
Ru 0.0000 0.3598 0.3207
Ru 0.0000 0.8598 0.6793


Record 10
## MoPRu2 (GGA-PBE)

Data for an optimized crystal structure of MoPRu2.

Summary:
Symmetry: No. 35

Unit cell a=2.7829 b=2.7829 c=8.1994 alpha=90.00 beta=90.00 gamma=115.14
Element x y z (fractional)
Mo 0.0000 0.0000 0.4821
P 0.5000 0.5000 0.2420
Ru 0.0000 0.0000 0.0300
Ru 0.5000 0.5000 0.7460


Record 11
## MoPRu2 (GGA-PBE)

Data for an optimized crystal structure of MoPRu2.

Summary:
Symmetry: No. 71

Unit cell a=5.0939 b=5.0939 c=5.0939 alpha=147.36 beta=129.22 gamma=61.68
Element x y z (fractional)
Mo 0.0000 0.5000 0.5000
P 0.5000 0.0000 0.5000
Ru 0.7157 0.7157 0.0000
Ru 0.2843 0.2843 0.0000


Record 12
## MoP3Ru (GGA-PBE)

Data for an optimized crystal structure of MoP3Ru.

Summary:
Symmetry: No. 221
Polymorph energy (0 for the lowest one) (meV per atom): 69

Unit cell a=4.5014 b=4.5014 c=4.5014 alpha=90.00 beta=90.00 gamma=90.00
Element x y z (fractional)
Ru 0.0000 0.0000 0.0000
Mo 0.5000 0.5000 0.5000
P 0.0000 0.5000 0.0000
P 0.0000 0.0000 0.5000
P 0.5000 0.0000 0.0000


Record 13
## MoPRu2 (GGA-PBE)

Data for an optimized crystal structure of MoPRu2.

Summary:
Symmetry: No. 216

Unit cell a=4.2865 b=4.2865 c=4.2865 alpha=60.00 beta=60.00 gamma=60.00
Element x y z (fractional)
Mo 0.5000 0.5000 0.5000
P 0.2500 0.2500 0.2500
Ru 0.0000 0.0000 0.0000
Ru 0.7500 0.7500 0.7500


Record 14
## Mo2P2Ru (GGA-PBE)

Data for an optimized crystal structure of Mo2P2Ru.

Summary:
Symmetry: No. 127
Polymorph energy (0 for the lowest one) (meV per atom): 281

Unit cell a=6.9530 b=6.9530 c=3.0087 alpha=90.00 beta=90.00 gamma=90.00
Element x y z (fractional)
Ru 0.0000 0.0000 0.0000
Ru 0.5000 0.5000 0.0000
Mo 0.3571 0.8571 0.0000
Mo 0.8571 0.6429 0.0000
Mo 0.6429 0.1429 0.0000
Mo 0.1429 0.3571 0.0000
P 0.1511 0.6511 0.5000
P 0.6511 0.8489 0.5000
P 0.8489 0.3489 0.5000
P 0.3489 0.1511 0.5000


Record 15
## MoPRu2 (GGA-PBE)

Data for an optimized crystal structure of MoPRu2.

Summary:
Symmetry: No. 122

Unit cell a=5.3919 b=5.3919 c=6.6107 alpha=65.93 beta=65.93 gamma=90.00
Element x y z (fractional)
Ru 0.5986 0.1250 0.2500
Ru 0.1514 0.6250 0.2500
Ru 0.3750 0.4014 0.7500
Ru 0.8750 0.8486 0.7500
Mo 0.0000 0.0000 0.0000
Mo 0.7500 0.2500 0.5000
P 0.5000 0.5000 0.0000
P 0.2500 0.7500 0.5000


Record 16
## MoPRu2 (GGA-PBE)

Data for an optimized crystal structure of MoPRu2.

Summary:
Symmetry: No. 44

Unit cell a=5.0858 b=5.0858 c=5.0858 alpha=146.84 beta=129.24 gamma=61.98
Element x y z (fractional)
Mo 0.5296 0.5296 0.0000
P 0.7571 0.2571 0.5000
Ru 0.9645 0.9645 0.0000
Ru 0.2488 0.7488 0.5000


Record 17
## MoPRu2 (GGA-PBE)

Data for an optimized crystal structure of MoPRu2.

Summary:
Symmetry: No. 123

Unit cell a=4.0118 b=4.0118 c=3.4902 alpha=90.00 beta=90.00 gamma=90.00
Site moments in Bohr magnetons follow the coordinates.
Element x y z (fractional)
Mo 0.5000 0.5000 0.5000  0.39
P 0.0000 0.0000 0.5000  0.00
Ru 0.5000 0.0000 0.0000  0.05
Ru 0.0000 0.5000 0.0000  0.05


Record 18
## MoPRu2 (GGA-PBE)

Data for an optimized crystal structure of MoPRu2.

Summary:
Symmetry: No. 38

Unit cell a=5.3057 b=5.3057 c=3.8657 alpha=90.00 beta=90.00 gamma=148.85
Element x y z (fractional)
Mo 0.9286 0.0714 0.0000
P 0.3225 0.6775 0.5000
Ru 0.1960 0.8040 0.0000
Ru 0.5543 0.4457 0.5000


Record 19
## Mo2P2Ru (GGA-PBE)

Data for an optimized crystal structure of Mo2P2Ru.

Summary:
Symmetry: No. 127
Polymorph energy (0 for the lowest one) (meV per atom): 0

Unit cell a=6.6877 b=6.6877 c=3.1275 alpha=90.00 beta=90.00 gamma=90.00
Element x y z (fractional)
Ru 0.0000 0.0000 0.0000
Ru 0.5000 0.5000 0.0000
Mo 0.1436 0.6436 0.5000
Mo 0.6436 0.8564 0.5000
Mo 0.8564 0.3564 0.5000
Mo 0.3564 0.1436 0.5000
P 0.3438 0.8438 0.0000
P 0.8438 0.6562 0.0000
P 0.6562 0.1562 0.0000
P 0.1562 0.3438 0.0000


Record 20
## MoPRu2 (GGA-PBE)

Data for an optimized crystal structure of MoPRu2.

Summary:
Symmetry: No. 63

Unit cell a=3.8309 b=4.8750 c=6.5212 alpha=90.00 beta=90.00 gamma=113.12
Element x y z (fractional)
Mo 0.9489 0.8980 0.2500
Mo 0.0511 0.1020 0.7500
P 0.7777 0.5555 0.7500
P 0.2223 0.4445 0.2500
Ru 0.3608 0.7218 0.5427
Ru 0.6392 0.2782 0.4573
Ru 0.3608 0.7218 0.9573
Ru 0.6392 0.2782 0.0427


Number 1: Fermi-level density of states 1.95 states/eV/cell, energy of formation -208 meV per atom, total moment 0.00 μB/f.u.. Number 2: Fermi-level density of states 1.62 states/eV/cell, energy of formation -259 meV per atom, total moment 0.00 μB/f.u.. Number 3: Fermi-level density of states 3.08 states/eV/cell, energy of formation -23 meV per atom, total moment 0.00 μB/f.u.. Number 4: Fermi-level density of states 3.78 states/eV/cell, energy of formation 25 meV per atom, total moment 0.00 μB/f.u.. Number 5: Fermi-level density of states 3.97 states/eV/cell, energy of formation 108 meV per atom, total moment 0.00 μB/f.u.. Number 6: Fermi-level density of states 7.80 states/eV/cell, energy of formation -244 meV per atom, total moment 0.00 μB/f.u.. Number 7: Fermi-level density of states 3.47 states/eV/cell, energy of formation 43 meV per atom, total moment 0.00 μB/f.u.. Number 8: Fermi-level density of states 5.38 states/eV/cell, energy of formation 113 meV per atom, total moment 0.35 μB/f.u.. Number 9: Fermi-level density of states 5.43 states/eV/cell, energy of formation -510 meV per atom, total moment 0.00 μB/f.u.. Number 10: Fermi-level density of states 5.28 states/eV/cell, energy of formation 272 meV per atom, total moment 0.00 μB/f.u.. Number 11: Fermi-level density of states 2.79 states/eV/cell, energy of formation -288 meV per atom, total moment 0.00 μB/f.u.. Number 12: Fermi-level density of states 11.21 states/eV/cell, energy of formation 1118 meV per atom, total moment 0.00 μB/f.u.. Number 13: Fermi-level density of states 3.93 states/eV/cell, energy of formation 104 meV per atom, total moment 0.00 μB/f.u.. Number 14: Fermi-level density of states 11.77 states/eV/cell, energy of formation 45 meV per atom, total moment 0.00 μB/f.u.. Number 15: Fermi-level density of states 7.23 states/eV/cell, energy of formation 422 meV per atom, total moment 0.00 μB/f.u.. Number 16: Fermi-level density of states 2.78 states/eV/cell, energy of formation -240 meV per atom, total moment 0.00 μB/f.u.. Number 17: Fermi-level density of states 5.70 states/eV/cell, energy of formation 175 meV per atom, total moment 0.55 μB/f.u.. Number 18: Fermi-level density of states 3.95 states/eV/cell, energy of formation -171 meV per atom, total moment 0.00 μB/f.u.. Number 19: Fermi-level density of states 9.60 states/eV/cell, energy of formation -236 meV per atom, total moment 0.00 μB/f.u.. Number 20: Fermi-level density of states 5.73 states/eV/cell, energy of formation -293 meV per atom, total moment 0.00 μB/f.u..